VASP calculation (PBE+U) on crystalline FeAu3O at its relaxed geometry.

Properties
offset from the most stable computed form	0	kJ/mol of formula units
N(E_F)	5.82	states/eV/f.u.
space group	No. 221
crystal system	cubic

a b c (Å): 4.4733 4.4733 4.4733
angles (deg): 90.00 90.00 90.00
Last column: nearest neighbours and their distance in Å.
Fractional coordinates of all 5 atoms:
Fe  0.0000  0.0000  0.0000  12 Au 3.16
Au  0.0000  0.5000  0.5000  2 O 2.24
Au  0.5000  0.0000  0.5000  2 O 2.24
Au  0.5000  0.5000  0.0000  2 O 2.24
O  0.5000  0.5000  0.5000  6 Au 2.24